Compound: B2MoWF
Source: Alexandria via LeMat-Bulk
Functional: PBE+U
Structure: optimized geometry

Cell: 4.272 4.048 4.272 Å, 90.00 90.00 90.00°
Each line ends with the local moment (μB).
Fractional positions:
1 F 0.000 0.500 0.000  0.01
2 W 0.000 0.000 0.000  -0.98
3 Mo 0.500 0.500 0.500  3.55
4 B 0.500 0.000 0.000  0.01
5 B 0.000 0.000 0.500  -0.09

Results
VASP energy	-0.1880	Ha/atom